Entry 1:
! SmEuSbPd | the Alexandria database | PBE | optimized geometry; values from VASP
&SYSTEM
  ibrav = 0, nat = 4, ntyp = 4
/
ATOMIC_SPECIES
Eu 151.96 Eu.upf
Sb 121.76 Sb.upf
Pd 106.42 Pd.upf
Sm 150.36 Sm.upf
ATOMIC_POSITIONS crystal
Eu 0.250 0.250 0.250
Sb 0.500 0.500 0.500
Pd 0.000 0.000 0.000
Sm 0.750 0.750 0.750
CELL_PARAMETERS angstrom
5.303 0.000 0.000
2.652 4.593 0.000
2.652 1.531 4.330
! - Symmetry: No. 216



Entry 2:
! SrEuSbPd | the Alexandria database | PBE | optimized geometry; values from VASP
&SYSTEM
  ibrav = 0, nat = 4, ntyp = 4
/
ATOMIC_SPECIES
Eu 151.96 Eu.upf
Sb 121.76 Sb.upf
Pd 106.42 Pd.upf
Sr 87.62 Sr.upf
ATOMIC_POSITIONS crystal
Eu 0.000 0.000 0.000
Sb 0.750 0.750 0.750
Pd 0.250 0.250 0.250
Sr 0.500 0.500 0.500
CELL_PARAMETERS angstrom
-1.046 -5.080 1.611
2.808 -2.179 4.106
-2.424 -0.889 4.778
! - Symmetry: No. 216



Entry 3:
! EuYSbPd | the Alexandria database | PBE | optimized geometry; values from VASP
&SYSTEM
  ibrav = 0, nat = 4, ntyp = 4
/
ATOMIC_SPECIES
Eu 151.96 Eu.upf
Sb 121.76 Sb.upf
Y 88.91 Y.upf
Pd 106.42 Pd.upf
ATOMIC_POSITIONS crystal
Eu 0.250 0.250 0.250
Sb 0.500 0.500 0.500
Y 0.750 0.750 0.750
Pd 0.000 0.000 0.000
CELL_PARAMETERS angstrom
-1.133 3.888 3.344
-2.991 -0.947 4.212
2.134 0.041 4.799
! - Symmetry: No. 216



Respective Fermi-level density of states values: 1.6; 13.9; 1.5 states/eV/cell.
Respective mass density values: 8.35; 6.86; 7.60 g cm⁻³.
Respective ΔE_f (raw) values: -0.81; -0.76; -0.82 eV/atom.